1.
# AcGe2MoO8

A geometry-optimized AcGe2MoO8 structure (PBE+U, Alexandria via LeMat-Bulk).

Unit cell a=5.9982 b=5.9982 c=5.9982 alpha=105.96 beta=105.96 gamma=116.74
Last column: magnetic moment on the atom in μB.
Fractional positions:
O 0.2876 0.4503 0.1627  -0.02
Ge 0.5000 0.5000 0.0000  0.00
O 0.2876 0.1249 0.8373  -0.02
O 0.8751 0.7124 0.1627  -0.02
Mo 0.0000 0.0000 0.0000  1.03
O 0.5497 0.7124 0.8373  -0.02
O 0.9190 0.2190 0.3000  0.00
O 0.7810 0.0810 0.7000  0.00
Ge 0.7500 0.2500 0.5000  0.00
O 0.9190 0.6191 0.7000  0.00
Ac 0.2500 0.7500 0.5000  0.00
O 0.3809 0.0810 0.3000  0.00

Output
Space-group type = No. 119
Uncorrected energy = -0.5017 Ry/atom
Total moment = 0.9 μB per formula unit

=====

2.
# AcGeMoO5

A geometry-optimized AcGeMoO5 structure (PBE+U, Alexandria via LeMat-Bulk).

Unit cell a=5.7050 b=5.7050 c=8.7654 alpha=99.61 beta=99.61 gamma=106.64
Last column: magnetic moment on the atom in μB.
Fractional positions:
O 0.1306 0.8694 0.2500  -0.02
Ac 0.0000 0.0000 0.5000  0.01
O 0.5747 0.6688 0.8947  0.01
Mo 0.6542 0.3458 0.7500  2.69
Ac 0.0000 0.0000 0.0000  0.01
Ge 0.6790 0.3210 0.2500  0.01
O 0.4253 0.3312 0.1053  0.01
O 0.8694 0.1306 0.7500  -0.02
O 0.0221 0.6411 0.7998  0.01
O 0.6688 0.5747 0.3947  0.01
Ge 0.3210 0.6790 0.7500  0.01
Mo 0.3458 0.6542 0.2500  2.69
O 0.6411 0.0221 0.2998  0.01
O 0.9779 0.3589 0.2002  0.01
O 0.3589 0.9779 0.7002  0.01
O 0.3312 0.4253 0.6053  0.01

Output
Space-group type = No. 15
Uncorrected energy = -0.5243 Ry/atom
Total moment = 3.0 μB per formula unit

=====

The records above yield calculated volume values of 164.10 262.44 Å³/cell, respectively.